A geometry-optimized Tb3Ce2PmSm6 structure. Source: the Alexandria database, functional PBE-GGA.

Unit cell a=6.2266 b=6.2266 c=11.9256 alpha=95.02 beta=95.02 gamma=120.01
Closest atoms and distances in Å follow each position.
Atoms (fractional coordinates):
Tb (0.0000, 0.0000, 0.0000)  6 Sm 3.59-3.60, 6 Tb 3.59-3.60
Tb (0.3336, 0.6664, 0.0000)  6 Sm 3.59-3.61, 6 Tb 3.59-3.60
Tb (0.6664, 0.3336, 0.0000)  6 Sm 3.59-3.61, 6 Tb 3.59-3.60
Ce (0.1666, 0.8334, 0.5000)  6 Sm 3.59, 3 Pm 3.59-3.60, 3 Ce 3.59
Ce (0.8334, 0.1666, 0.5000)  6 Sm 3.59, 3 Pm 3.59-3.60, 3 Ce 3.59
Pm (0.5000, 0.5000, 0.5000)  6 Ce 3.59-3.60, 6 Sm 3.60
Sm (0.0799, 0.4164, 0.2504)  6 Sm 3.58-3.63, 2 Ce 3.59, 3 Tb 3.59-3.61, 1 Pm 3.60
Sm (0.2472, 0.2472, 0.7497)  6 Sm 3.58-3.63, 2 Ce 3.59, 3 Tb 3.59-3.60, 1 Pm 3.60
Sm (0.4164, 0.0799, 0.2504)  6 Sm 3.58-3.63, 2 Ce 3.59, 3 Tb 3.59-3.61, 1 Pm 3.60
Sm (0.5836, 0.9201, 0.7496)  6 Sm 3.58-3.63, 2 Ce 3.59, 3 Tb 3.59-3.61, 1 Pm 3.60
Sm (0.7528, 0.7528, 0.2503)  6 Sm 3.58-3.63, 2 Ce 3.59, 3 Tb 3.59-3.60, 1 Pm 3.60
Sm (0.9201, 0.5836, 0.7496)  6 Sm 3.58-3.63, 2 Ce 3.59, 3 Tb 3.59-3.61, 1 Pm 3.60

SG = C2/m, No. 12
energy of formation = 53.6 meV per atom
V = 32.8 A^3/atom
M_tot = 2.0 μB per cell
mass density = 7.6 g/cm³